Computed, not measured: a relaxed structure of Nd2CoSe at the PBE level of DFT.

density of states at the Fermi level = 4.2 states/eV/cell
calculated total energy = -5.9580 eV per atom
ΔE_f (raw) = -926 meV per atom
energy above the most stable polymorph in this dataset = 0 meV/atom
crystal system = orthorhombic

The structure in POSCAR format:
```
Nd2CoSe
1.0
-1.574 3.132 -2.161
2.696 -0.796 -3.118
-9.173 -6.914 -3.339
Nd Co Se
4 2 2
Direct
0.750 0.683 0.367
0.250 0.317 0.633
0.750 0.936 0.871
0.250 0.064 0.129
0.250 0.479 0.958
0.750 0.521 0.042
0.250 0.191 0.383
0.750 0.809 0.617
```